1.
Below is crystalline SiTcSe at its relaxed geometry, with properties calculated at the PBE-GGA level.

extended XYZ file:
```
3
Lattice="4.728 0.869 -0.648 3.241 5.466 -1.131 -4.254 -3.591 3.265" Properties=species:S:1:pos:R:3 pbc="T T T"
Si -2.013 -1.805 2.760
Se 3.268 5.270 -0.947
Tc 1.446 1.152 1.806
```

Values from the calculation:
- Raw formation energy: 0.03 eV per atom
- Density: 6470 kg/m³
- Uncorrected energy: -6.3910 eV per atom

=====

2.
Below is crystalline SiTcSe at its relaxed geometry, with properties calculated at the PBE-GGA level.

extended XYZ file:
```
3
Lattice="-3.305 -0.056 2.699 3.484 -2.315 0.845 1.183 2.327 1.497" Properties=species:S:1:pos:R:3 pbc="T T T"
Tc 2.207 0.378 2.711
Si -0.649 -0.035 2.579
Se 0.986 1.939 1.248
```

Values from the calculation:
- Raw formation energy: 0.31 eV per atom
- Density: 7175 kg/m³
- Uncorrected energy: -6.1114 eV per atom